(1)
The following is a PBE calculation of a relaxed KCo2W crystal, from Alexandria.

The structure belongs to space group P4mm (No. 99); the cell edges are 2.721, 2.721 and 9.239 Å and the angles 90.00°, 90.00° and 90.00°. Symmetry generates all atoms from K at (0.000, 0.000, 0.000), Co at (0.000, 0.000, 0.545), Co at (0.500, 0.500, 0.703) and W at (0.500, 0.500, 0.349).

(2)
The following is a PBE calculation of a relaxed KCo2W crystal, from Alexandria.

The structure belongs to space group Pmm2 (No. 25); the cell edges are 2.652, 3.466 and 8.150 Å and the angles 90.00°, 90.00° and 90.00°. Symmetry generates all atoms from K at (0.000, 0.000, 0.000), Co at (0.000, 0.000, 0.547), Co at (0.500, 0.500, 0.674) and W at (0.500, 0.500, 0.376).

(3)
The following is a PBE calculation of a relaxed KCo2W crystal, from Alexandria.

The structure belongs to space group Cmmm (No. 65); the cell edges are 7.021, 7.031 and 2.623 Å and the angles 90.00°, 90.00° and 90.00°. Symmetry generates all atoms from K at (0.000, 0.000, 0.000), Co at (0.250, 0.250, 0.500) and W at (0.000, 0.500, 0.000).

| no. | relative energy among the computed polymorphs (eV/atom) | theoretical density (g/cm³) |
| --- | --- | --- |
| 1 | 0.268 | 8.3 |
| 2 | 0.240 | 7.6 |
| 3 | 0.613 | 8.7 |